Entry 1:
{"formula": "CdNiSnCl2", "functional": "PBE", "state": "optimized geometry", "raw_formation_energy_ev_per_atom": 0.361, "relative_energy_ev_per_atom": 0.2611, "volume_a3_per_atom": 32.2, "mass_density_g_cm3": 3.72, "m_tot_mub_per_fu": 1.821, "final_energy_ev_per_cell": -12.59, "n_ef_per_ev_cell": 6.825, "space_group": "No. 123", "lattice": [[5.331, 0.000, 0.000], [0.000, 5.331, 0.000], [0.000, 0.000, 5.658]], "species": ["Cd", "Ni", "Sn", "Cl", "Cl"], "frac_coords": [[0.000, 0.000, 0.000], [0.500, 0.500, 0.000], [0.000, 0.000, 0.500], [0.000, 0.500, 0.500], [0.500, 0.000, 0.500]]}

---

Entry 2:
{"formula": "CdNiSnCl2", "functional": "PBE", "state": "optimized geometry", "raw_formation_energy_ev_per_atom": 0.100, "relative_energy_ev_per_atom": 0.0000, "volume_a3_per_atom": 30.1, "mass_density_g_cm3": 3.99, "m_tot_mub_per_fu": 1.102, "final_energy_ev_per_cell": -13.89, "n_ef_per_ev_cell": 23.543, "space_group": "No. 123", "lattice": [[5.425, 0.000, 0.000], [0.000, 5.425, 0.000], [0.000, 0.000, 5.106]], "species": ["Cd", "Ni", "Sn", "Cl", "Cl"], "frac_coords": [[0.000, 0.000, 0.000], [0.500, 0.500, 0.000], [0.500, 0.500, 0.500], [0.000, 0.500, 0.500], [0.500, 0.000, 0.500]]}

---

Entry 3:
{"formula": "Tl2CdNiCl6", "functional": "PBE", "state": "optimized geometry", "raw_formation_energy_ev_per_atom": -0.872, "volume_a3_per_atom": 26.8, "mass_density_g_cm3": 4.91, "m_tot_mub_per_fu": 1.962, "final_energy_ev_per_cell": -62.46, "space_group": "No. 166", "lattice": [[3.551, 2.050, 12.278], [-3.551, 2.050, 12.278], [0.000, -4.101, 12.278]], "species": ["Tl", "Tl", "Tl", "Tl", "Cd", "Cd", "Ni", "Ni", "Cl", "Cl", "Cl", "Cl", "Cl", "Cl", "Cl", "Cl", "Cl", "Cl", "Cl", "Cl"], "frac_coords": [[0.131, 0.131, 0.131], [0.302, 0.302, 0.302], [0.698, 0.698, 0.698], [0.869, 0.869, 0.869], [0.414, 0.414, 0.414], [0.586, 0.586, 0.586], [0.000, 0.000, 0.000], [0.500, 0.500, 0.500], [0.142, 0.621, 0.621], [0.198, 0.198, 0.718], [0.198, 0.718, 0.198], [0.282, 0.802, 0.802], [0.379, 0.379, 0.858], [0.379, 0.858, 0.379], [0.621, 0.142, 0.621], [0.621, 0.621, 0.142], [0.718, 0.198, 0.198], [0.802, 0.282, 0.802], [0.802, 0.802, 0.282], [0.858, 0.379, 0.379]]}

---

Entry 4:
{"formula": "NpCd2Cl8", "functional": "PBE", "state": "optimized geometry", "raw_formation_energy_ev_per_atom": -1.245, "volume_a3_per_atom": 35.9, "mass_density_g_cm3": 3.13, "m_tot_mub_per_fu": 3.000, "final_energy_ev_per_cell": -43.24, "n_ef_per_ev_cell": 3.932, "space_group": "No. 12", "lattice": [[8.663, -3.505, 0.000], [8.663, 3.505, 0.000], [-0.735, 0.000, 6.505]], "species": ["Np", "Cd", "Cd", "Cl", "Cl", "Cl", "Cl", "Cl", "Cl", "Cl", "Cl"], "frac_coords": [[0.000, 0.000, 0.000], [0.160, 0.160, 0.456], [0.840, 0.840, 0.544], [0.131, 0.131, 0.830], [0.187, 0.688, 0.735], [0.291, 0.291, 0.381], [0.312, 0.813, 0.265], [0.688, 0.187, 0.735], [0.709, 0.709, 0.619], [0.813, 0.312, 0.265], [0.869, 0.869, 0.170]]}

---

Entry 5:
{"formula": "NpCd3Cl2O6", "functional": "PBE", "state": "optimized geometry", "raw_formation_energy_ev_per_atom": -1.394, "volume_a3_per_atom": 19.7, "mass_density_g_cm3": 5.19, "m_tot_mub_per_fu": 1.036, "final_energy_ev_per_cell": -65.86, "n_ef_per_ev_cell": 7.577, "space_group": "No. 12", "lattice": [[6.889, -3.270, 0.000], [6.889, 3.270, 0.000], [-0.141, 0.000, 5.260]], "species": ["Np", "Cd", "Cd", "Cd", "Cl", "Cl", "O", "O", "O", "O", "O", "O"], "frac_coords": [[0.000, 0.000, 0.000], [0.000, 0.500, 0.000], [0.500, 0.000, 0.000], [0.500, 0.500, 0.500], [0.314, 0.314, 0.394], [0.686, 0.686, 0.606], [0.159, 0.159, 0.920], [0.195, 0.760, 0.760], [0.240, 0.805, 0.240], [0.760, 0.195, 0.760], [0.805, 0.240, 0.240], [0.841, 0.841, 0.080]]}

---

Entry 6:
{"formula": "RbNpCd2Cl8", "functional": "PBE", "state": "optimized geometry", "raw_formation_energy_ev_per_atom": -1.398, "volume_a3_per_atom": 33.3, "mass_density_g_cm3": 3.46, "m_tot_mub_per_fu": 4.000, "final_energy_ev_per_cell": -47.29, "n_ef_per_ev_cell": 5.315, "space_group": "No. 147", "lattice": [[6.735, 0.000, 0.000], [-3.367, 5.833, 0.000], [0.000, 0.000, 10.164]], "species": ["Rb", "Np", "Cd", "Cd", "Cl", "Cl", "Cl", "Cl", "Cl", "Cl", "Cl", "Cl"], "frac_coords": [[0.000, 0.000, 0.000], [0.000, 0.000, 0.500], [0.333, 0.667, 0.760], [0.667, 0.333, 0.240], [0.013, 0.689, 0.332], [0.311, 0.325, 0.332], [0.325, 0.013, 0.668], [0.333, 0.667, 0.997], [0.667, 0.333, 0.003], [0.675, 0.987, 0.332], [0.689, 0.675, 0.668], [0.987, 0.311, 0.668]]}

---

Entry 7:
{"formula": "RbNpCdCl6", "functional": "PBE", "state": "optimized geometry", "raw_formation_energy_ev_per_atom": -1.516, "volume_a3_per_atom": 38.4, "mass_density_g_cm3": 3.11, "m_tot_mub_per_fu": 4.000, "final_energy_ev_per_cell": -79.09, "n_ef_per_ev_cell": 14.653, "space_group": "No. 74", "lattice": [[-4.793, 5.069, 7.117], [4.793, -5.069, 7.117], [4.793, 5.069, -7.117]], "species": ["Rb", "Rb", "Np", "Np", "Cd", "Cd", "Cl", "Cl", "Cl", "Cl", "Cl", "Cl", "Cl", "Cl", "Cl", "Cl", "Cl", "Cl"], "frac_coords": [[0.286, 0.036, 0.250], [0.714, 0.964, 0.750], [0.000, 0.500, 0.500], [0.500, 0.500, 0.000], [0.000, 0.000, 0.500], [0.000, 0.500, 0.000], [0.060, 0.403, 0.227], [0.060, 0.833, 0.657], [0.061, 0.811, 0.250], [0.324, 0.167, 0.727], [0.324, 0.574, 0.750], [0.324, 0.597, 0.157], [0.676, 0.403, 0.843], [0.676, 0.426, 0.250], [0.676, 0.833, 0.273], [0.939, 0.189, 0.750], [0.940, 0.167, 0.343], [0.940, 0.597, 0.773]]}

---

Entry 8:
{"formula": "NpTl2CdCl8", "functional": "PBE", "state": "optimized geometry", "raw_formation_energy_ev_per_atom": -1.286, "volume_a3_per_atom": 34.0, "mass_density_g_cm3": 4.24, "m_tot_mub_per_fu": 3.000, "final_energy_ev_per_cell": -48.79, "n_ef_per_ev_cell": 4.389, "space_group": "No. 10", "lattice": [[6.736, 0.000, 0.000], [0.000, 8.619, 0.000], [-0.404, 0.000, 7.029]], "species": ["Np", "Tl", "Tl", "Cd", "Cl", "Cl", "Cl", "Cl", "Cl", "Cl", "Cl", "Cl"], "frac_coords": [[0.000, 0.000, 0.000], [0.500, 0.260, 0.500], [0.500, 0.740, 0.500], [0.000, 0.500, 0.000], [0.204, 0.500, 0.296], [0.213, 0.000, 0.321], [0.221, 0.225, 0.872], [0.221, 0.775, 0.872], [0.779, 0.225, 0.128], [0.779, 0.775, 0.128], [0.787, 0.000, 0.679], [0.796, 0.500, 0.704]]}